! MgTa2TiOs (PBE, optimized geometry); values from VASP
! Mass density   10.110 g cm⁻³
! E_form   1.25 eV/atom
! M_tot   0.0000 μB/atom
&SYSTEM
  ibrav = 0, nat = 5, ntyp = 4
/
ATOMIC_SPECIES
Ta 180.95 Ta.upf
Mg 24.30 Mg.upf
Ti 47.87 Ti.upf
Os 190.23 Os.upf
CELL_PARAMETERS angstrom
4.721 0.000 0.000
0.000 4.600 0.000
0.000 0.000 4.721
ATOMIC_POSITIONS crystal
Ta 0.000 0.000 0.500
Mg 0.500 0.500 0.500
Ti 0.000 0.000 0.000
Ta 0.500 0.000 0.000
Os 0.000 0.500 0.000